Material: Cs3NaHg
Method: DFT, GGA-PBE
State: optimized geometry

Energy relative to the lowest polymorph listed for this composition, eV per atom: 0.068
Spin magnetization, μB/f.u.: 0.00
Total energy, Ry per atom: -0.0637
Space-group type: Pm-3m, No. 221

Unit cell a=7.386 b=7.386 c=7.386 alpha=90.00 beta=90.00 gamma=90.00
Element x y z (fractional)
1 Cs 0.000 0.000 0.500
2 Na 0.500 0.500 0.500
3 Cs 0.000 0.500 0.000
4 Hg 0.000 0.000 0.000
5 Cs 0.500 0.000 0.000